A plane-wave DFT calculation with PBE was carried out for an optimized crystal structure of Ho3Zn4Pd2.

Lattice parameters (Å, degrees): 4.4442 5.7116 8.0477 73.85 73.97 67.10
Closest atoms and distances in Å follow each position.
Fractional positions:
Zn 0.9735 0.6853 0.3677  1 Zn 2.54, 2 Pd 2.61
Zn 0.2817 0.3874 0.0493  2 Zn 2.56, 1 Pd 2.65
Pd 0.4062 0.9267 0.2608  3 Zn 2.61-2.65
Zn 0.0265 0.3147 0.6323  1 Zn 2.54, 2 Pd 2.61
Zn 0.7183 0.6126 0.9507  2 Zn 2.56, 1 Pd 2.65
Ho 0.0000 0.0000 0.0000  4 Pd 2.98, 8 Zn 3.00-3.17
Ho 0.6821 0.2805 0.3554  3 Pd 2.96-3.08, 8 Zn 3.09-3.28
Ho 0.3179 0.7195 0.6446  3 Pd 2.96-3.08, 8 Zn 3.09-3.28
Pd 0.5938 0.0733 0.7392  3 Zn 2.61-2.65

Computed properties:
Energy above the lowest structure with this stoichiometry   0 meV/atom
SG   C2/m
V   177 Å³/f.u.
Formation enthalpy at 0 K   -57 kJ per mole of atoms
Uncorrected energy   -3.84 eV per atom
Magnetization   0.00 μB per formula unit